Below is crystalline NaZnH3 at its relaxed geometry, with properties calculated at the PBEsol level.

Output
final energy	-2.60	eV/atom
DOS at the Fermi energy	0.112	states/eV/atom

Cell lengths 3.615, 3.615, 3.615 Å; angles 90.00, 90.00, 90.00 degrees
Space group Pm-3m (No. 221)
One atom of each set of equivalent atoms:
Na1 0.000 0.000 0.000 [1 per cell]
Zn1 0.500 0.500 0.500 [1 per cell]
H1 0.000 0.500 0.500 [3 per cell]